{"formula": "Hg2PSe", "functional": "PBE", "state": "relaxed", "lattice": [[2.754, 0.000, 0.000], [0.000, 2.754, 0.000], [0.000, 0.000, 13.107]], "species": ["Hg", "Hg", "P", "Se"], "frac_coords": [[0.000, 0.000, 0.765], [0.000, 0.000, 0.235], [0.500, 0.500, 0.000], [0.500, 0.500, 0.500]], "final_energy_ev_per_atom": -1.95, "rho_g_cm3": 8.5, "space_group": "P4/mmm (123)"}

{"formula": "Li2PrErS4", "functional": "PBE", "state": "relaxed", "lattice": [[-1.064, -3.399, -1.791], [5.152, 0.780, -4.542], [2.067, -3.421, 5.264]], "species": ["Pr", "S", "S", "S", "S", "Er", "Li", "Li"], "frac_coords": [[0.000, 0.000, 0.000], [0.500, 0.736, 0.744], [0.000, 0.261, 0.749], [0.000, 0.739, 0.251], [0.500, 0.264, 0.256], [0.500, 0.500, 0.000], [0.000, 0.500, 0.500], [0.500, 0.000, 0.500]], "final_energy_ev_per_atom": -5.51, "rho_g_cm3": 4.4, "space_group": "P2/m (10)"}

{"formula": "ErCuAg", "functional": "PBE", "state": "relaxed", "lattice": [[-1.406, -0.633, -3.068], [1.897, -3.898, -0.066], [-6.507, -3.230, 3.649]], "species": ["Er", "Er", "Ag", "Ag", "Cu", "Cu"], "frac_coords": [[0.312, 0.216, 0.679], [0.312, 0.716, 0.113], [0.812, 0.716, 0.499], [0.812, 0.216, 0.294], [0.812, 0.716, 0.821], [0.812, 0.216, 0.972]], "relative_energy_mev_per_atom": 20, "final_energy_ev_per_atom": -4.09, "rho_g_cm3": 9.3, "space_group": "Pmma (51)", "formation_energy_mev_per_atom": -251.8}

{"formula": "InBr2O", "functional": "PBE", "state": "relaxed", "lattice": [[-2.281, 1.304, 6.942], [-2.363, -7.016, 0.541], [0.869, -3.836, 4.974]], "species": ["In", "In", "O", "O", "Br", "Br", "Br", "Br"], "frac_coords": [[0.000, 0.000, 0.000], [0.750, 0.250, 0.500], [0.500, 0.500, 0.000], [0.250, 0.750, 0.500], [0.629, 0.125, 0.250], [0.121, 0.625, 0.250], [0.875, 0.879, 0.750], [0.375, 0.371, 0.750]], "relative_energy_mev_per_atom": 1007, "final_energy_ev_per_atom": -2.58, "rho_g_cm3": 4.9, "space_group": "I-42d (122)"}

{"formula": "SrMgSi2", "functional": "PBE", "state": "relaxed", "lattice": [[3.453, 0.000, 0.000], [0.000, 3.453, 0.000], [0.000, 0.000, 7.670]], "species": ["Mg", "Si", "Si", "Sr"], "frac_coords": [[0.500, 0.500, 0.818], [0.500, 0.500, 0.172], [0.000, 0.000, 0.048], [0.000, 0.000, 0.462]], "final_energy_ev_per_atom": -3.53, "rho_g_cm3": 3.1, "space_group": "P4mm (99)"}

{"formula": "BaMg2SiPt", "functional": "PBE", "state": "relaxed", "lattice": [[-3.441, -3.369, 1.753], [2.773, -3.845, -1.948], [2.406, -0.333, 4.082]], "species": ["Ba", "Mg", "Mg", "Si", "Pt"], "frac_coords": [[0.500, 0.500, 0.500], [0.500, 0.000, 0.000], [0.000, 0.500, 0.000], [0.000, 0.000, 0.500], [0.000, 0.000, 0.000]], "final_energy_ev_per_atom": -3.74, "rho_g_cm3": 5.4, "space_group": "P4/mmm (123)"}

Size of the total moment values (in μB/f.u.) by entry order: 0.0; 0.0; 0.0; 1.1; 0.0; 0.0.